Entry 1:
# Lu2GaCo | Alexandria | PBE | relaxed
# E_form ... -0.4424 eV per atom
# Mass density ... 10.20 g/cm3
data_Lu2GaCo
_cell_length_a 3.354
_cell_length_b 3.354
_cell_length_c 6.926
_cell_angle_alpha 90.00
_cell_angle_beta 90.00
_cell_angle_gamma 90.00
_symmetry_space_group_name_H-M 'P 1'
_symmetry_Int_Tables_number 1
loop_
_symmetry_equiv_pos_as_xyz
'x,y,z'
loop_
_atom_site_label
_atom_site_type_symbol
_atom_site_fract_x
_atom_site_fract_y
_atom_site_fract_z
Lu1 Lu 0.000 0.000 0.229
Lu2 Lu 0.000 0.000 0.771
Ga1 Ga 0.500 0.500 0.500
Co1 Co 0.500 0.500 0.000

Entry 2:
# In4P5 | Alexandria | PBE | relaxed
# E_form ... 0.4030 eV per atom
# Mass density ... 5.33 g/cm3
data_In4P5
_cell_length_a 7.737
_cell_length_b 7.737
_cell_length_c 7.379
_cell_angle_alpha 90.00
_cell_angle_beta 90.00
_cell_angle_gamma 120.00
_symmetry_space_group_name_H-M 'P 1'
_symmetry_Int_Tables_number 1
loop_
_symmetry_equiv_pos_as_xyz
'x,y,z'
loop_
_atom_site_label
_atom_site_type_symbol
_atom_site_fract_x
_atom_site_fract_y
_atom_site_fract_z
In1 In 0.000 0.000 0.000
In2 In 0.000 0.000 0.500
In3 In 0.000 0.414 0.250
In4 In 0.000 0.586 0.750
In5 In 0.414 0.000 0.250
In6 In 0.414 0.414 0.750
In7 In 0.586 0.000 0.750
In8 In 0.586 0.586 0.250
P1 P 0.000 0.249 0.750
P2 P 0.000 0.751 0.250
P3 P 0.249 0.000 0.750
P4 P 0.249 0.249 0.250
P5 P 0.333 0.667 0.000
P6 P 0.333 0.667 0.500
P7 P 0.667 0.333 0.000
P8 P 0.667 0.333 0.500
P9 P 0.751 0.000 0.250
P10 P 0.751 0.751 0.750

Entry 3:
# LiNiHI2 | Alexandria | PBE | relaxed
# Mass density ... 5.53 g/cm3
# VASP energy ... -2.435 eV/atom
data_LiNiHI2
_cell_length_a 5.130
_cell_length_b 5.130
_cell_length_c 3.656
_cell_angle_alpha 90.00
_cell_angle_beta 90.00
_cell_angle_gamma 90.00
_symmetry_space_group_name_H-M 'P 1'
_symmetry_Int_Tables_number 1
loop_
_symmetry_equiv_pos_as_xyz
'x,y,z'
loop_
_atom_site_label
_atom_site_type_symbol
_atom_site_fract_x
_atom_site_fract_y
_atom_site_fract_z
Li1 Li 0.000 0.000 0.000
Ni1 Ni 0.500 0.500 0.000
H1 H 0.000 0.000 0.500
I1 I 0.000 0.500 0.500
I2 I 0.500 0.000 0.500

Entry 4:
# BeTlIn4 | Alexandria | PBE | relaxed
# E_form ... 0.5005 eV per atom
# Mass density ... 6.70 g/cm3
data_BeTlIn4
_cell_length_a 6.177
_cell_length_b 6.177
_cell_length_c 6.177
_cell_angle_alpha 60.00
_cell_angle_beta 60.00
_cell_angle_gamma 60.00
_symmetry_space_group_name_H-M 'P 1'
_symmetry_Int_Tables_number 1
loop_
_symmetry_equiv_pos_as_xyz
'x,y,z'
loop_
_atom_site_label
_atom_site_type_symbol
_atom_site_fract_x
_atom_site_fract_y
_atom_site_fract_z
Be1 Be 0.000 0.000 0.000
Tl1 Tl 0.250 0.250 0.250
In1 In 0.124 0.625 0.625
In2 In 0.625 0.124 0.625
In3 In 0.625 0.625 0.124
In4 In 0.625 0.625 0.625